(1)
DFT (PBE-GGA) results for CuAg2Br after structural relaxation.

- energy above the most stable polymorph in this dataset (kJ/mol of formula units) = 91.7
- DOS at the Fermi energy (states/eV per cell) = 0.7
- symmetry = Pmmm (47)
- electronic total energy (eV per atom) = -2.595
- uncorrected formation energy (eV per atom) = 0.27
- spin magnetization (Bohr magnetons per cell) = 0.0

```
4
Lattice="4.125 0.000 0.000 0.000 4.141 0.000 0.000 0.000 4.405" Properties=species:S:1:pos:R:3 pbc="T T T"
Ag 2.063 2.071 0.000
Ag 0.000 0.000 0.000
Br 2.063 0.000 2.203
Cu 0.000 2.071 2.203
```

(2)
DFT (PBE-GGA) results for RbAsPS2 after structural relaxation.

- energy above the most stable polymorph in this dataset (kJ/mol of formula units) = 831.6
- DOS at the Fermi energy (states/eV per cell) = 7.8
- symmetry = P4/mmm (123)
- electronic total energy (eV per atom) = -1.979
- uncorrected formation energy (eV per atom) = 1.88
- spin magnetization (Bohr magnetons per cell) = 6.0

```
5
Lattice="-1.596 1.420 -5.389 -3.634 -4.515 -0.113 -4.565 3.616 2.304" Properties=species:S:1:pos:R:3 pbc="T T T"
S -0.798 0.710 -2.694
S -1.817 -2.257 -0.057
P -2.282 1.808 1.152
Rb 0.000 0.000 0.000
As -4.897 0.261 -1.599
```

(3)
DFT (PBE-GGA) results for LaTiS3 after structural relaxation.

- DOS at the Fermi energy (states/eV per cell) = 5.0
- symmetry = P-1 (2)
- electronic total energy (eV per atom) = -6.668
- uncorrected formation energy (eV per atom) = -1.63
- spin magnetization (Bohr magnetons per cell) = 0.0

```
10
Lattice="3.561 0.004 -0.600 0.032 5.586 0.183 -0.042 0.359 10.573" Properties=species:S:1:pos:R:3 pbc="T T T"
Ti 2.412 1.124 5.871
Ti 0.654 4.008 6.292
S 2.676 4.786 7.433
S 1.678 0.888 1.575
S 0.884 1.985 7.672
S 1.430 3.883 0.015
S 0.389 0.345 4.731
S 2.182 3.146 4.492
La 3.036 1.089 9.587
La 0.029 4.041 2.576
```

(4)
DFT (PBE-GGA) results for YH6Pd2Rh after structural relaxation.

- DOS at the Fermi energy (states/eV per cell) = 0.8
- symmetry = P1 (1)
- electronic total energy (eV per atom) = -4.787
- spin magnetization (Bohr magnetons per cell) = 0.0

```
10
Lattice="4.934 -0.035 -0.145 -2.498 4.289 -0.011 -2.574 -1.487 4.631" Properties=species:S:1:pos:R:3 pbc="T T T"
Y -2.624 1.357 2.908
H -0.045 1.346 3.156
H -1.525 -0.729 3.032
H 1.029 -0.929 3.164
H -0.623 1.373 0.597
H 1.534 -0.030 0.544
H 1.928 3.085 0.695
Rh -0.138 2.798 4.048
Pd 0.212 2.928 1.168
Pd -0.082 -0.051 4.474
```